No. 1
First-principles (PBE) data for a relaxed structure of KTa2Mn, as listed in the Alexandria database.

## Properties
**Total moment**: 2.9 μB/f.u.
**ΔH_f (0 K)**: 3.94 eV per formula unit
**Electronic total energy**: -7.51 eV per atom
**N(E_F)**: 4.2 states/eV/f.u.
**Energy above the most stable polymorph in this dataset**: 327.0 meV per atom

Lattice parameters (Å, degrees): 2.7521 5.4564 11.1805 90.00 90.00 90.00
With the nearest neighbours (Å) after each atom.
Space group Immm (No. 71)
Unique sites:
K: 0.0000 0.0000 0.0000  2 K 2.75, 4 Mn 3.06
Ta: 0.0000 0.5000 0.2073  2 Mn 2.70, 2 Ta 2.75
Mn: 0.0000 0.0000 0.5000  4 Ta 2.70, 2 Mn 2.75

---

No. 2
First-principles (PBE) data for a relaxed structure of KTaMn4, as listed in the Alexandria database.

## Properties
**Total moment**: 1.0 μB/f.u.
**ΔH_f (0 K)**: 5.59 eV per formula unit
**Electronic total energy**: -7.34 eV per atom
**N(E_F)**: 8.1 states/eV/f.u.

Lattice parameters (Å, degrees): 7.0247 7.0247 7.0247 90.00 90.00 90.00
With the nearest neighbours (Å) after each atom.
Space group F-43m (No. 216)
Unique sites:
K: 0.0000 0.0000 0.0000  12 Mn 2.92, 4 Ta 3.04
Ta: 0.2500 0.2500 0.2500  12 Mn 2.91, 4 K 3.04
Mn: 0.1237 0.1237 0.6237  6 Mn 2.46-2.51

---

No. 3
First-principles (PBE) data for a relaxed structure of KTa2Mn, as listed in the Alexandria database.

## Properties
**Total moment**: 2.1 μB/f.u.
**ΔH_f (0 K)**: 2.69 eV per formula unit
**Electronic total energy**: -7.82 eV per atom
**N(E_F)**: 3.6 states/eV/f.u.
**Energy above the most stable polymorph in this dataset**: 14.9 meV per atom

Lattice parameters (Å, degrees): 3.1879 3.1879 9.1744 90.00 90.00 90.00
With the nearest neighbours (Å) after each atom.
Space group P4mm (No. 99)
Unique sites:
K: 0.0000 0.0000 0.0000  4 K 3.19
Ta: 0.0000 0.0000 0.4518  4 Mn 2.60, 4 Ta 2.84
Ta: 0.5000 0.5000 0.6401  4 Ta 2.84, 1 Mn 3.03
Mn: 0.5000 0.5000 0.3103  4 Ta 2.60

---

No. 4
First-principles (PBE) data for a relaxed structure of KTa2Mn, as listed in the Alexandria database.

## Properties
**Total moment**: 0.4 μB/f.u.
**ΔH_f (0 K)**: 2.72 eV per formula unit
**Electronic total energy**: -7.81 eV per atom
**N(E_F)**: 3.0 states/eV/f.u.
**Energy above the most stable polymorph in this dataset**: 22.9 meV per atom

Lattice parameters (Å, degrees): 3.2291 4.8728 10.3533 90.00 90.00 90.00
With the nearest neighbours (Å) after each atom.
Space group Cmmm (No. 65)
Unique sites:
K: 0.0000 0.0000 0.0000  6 K 2.92-3.23
Ta: 0.0000 0.5000 0.3188  2 Mn 2.48
Mn: 0.0000 0.0000 0.5000  4 Ta 2.48

---

Question: Look up the N(E_F) of the third one.
Answer: 3.6 states/eV/f.u.

---

Question: Look up the total moment of the second one.
Answer: 1.0 μB/f.u.